# 1
Entry from Alexandria: crystalline Y2MnHg at its relaxed geometry (GGA-PBE).

* energy of formation from the pure elements: -0.16 eV/atom

abc: 3.581 3.581 7.537
angles: 90.00 90.00 90.00
Space group P4/mmm (No. 123)
One atom of each set of equivalent atoms:
Y1 0.000 0.000 0.231
Mn1 0.500 0.500 0.000
Hg1 0.500 0.500 0.500



# 2
Entry from Alexandria: crystalline YMnHg at its relaxed geometry (GGA-PBE).

* energy of formation from the pure elements: 0.21 eV/atom

abc: 3.4672 3.4672 6.8232
angles: 90.00 90.00 120.00
Space group P3m1 (No. 156)
One atom of each set of equivalent atoms:
Y1 0.0000 0.0000 0.0000
Mn1 0.3333 0.6667 0.6648
Hg1 0.6667 0.3333 0.3672



# 3
Entry from Alexandria: crystalline YMn4Hg at its relaxed geometry (GGA-PBE).

* energy of formation from the pure elements: 0.24 eV/atom

abc: 7.283 7.283 7.283
angles: 90.00 90.00 90.00
Space group F-43m (No. 216)
One atom of each set of equivalent atoms:
Y1 0.000 0.000 0.000
Mn1 0.126 0.126 0.626
Hg1 0.250 0.250 0.250



# 4
Entry from Alexandria: crystalline Y3MnHg at its relaxed geometry (GGA-PBE).

* energy of formation from the pure elements: 0.15 eV/atom
* energy above the most stable polymorph in this dataset: 0.0000 eV per atom

abc: 5.166 5.166 5.166
angles: 90.00 90.00 90.00
Space group Pm-3m (No. 221)
One atom of each set of equivalent atoms:
Y1 0.000 0.000 0.500
Mn1 0.000 0.000 0.000
Hg1 0.500 0.500 0.500



# 5
Entry from Alexandria: crystalline MnZnHg at its relaxed geometry (GGA-PBE).

* energy of formation from the pure elements: 0.20 eV/atom
* energy above the most stable polymorph in this dataset: 0.0000 eV per atom

abc: 11.811 2.982 2.981
angles: 90.00 104.50 90.00
Space group Cm (No. 8)
One atom of each set of equivalent atoms:
Mn1 0.000 0.000 0.000
Zn1 0.140 0.500 0.639
Hg1 0.324 0.000 0.326



# 6
Entry from Alexandria: crystalline MnZnHg3 at its relaxed geometry (GGA-PBE).

* energy of formation from the pure elements: 0.59 eV/atom
* energy above the most stable polymorph in this dataset: 0.1011 eV per atom

abc: 5.128 5.128 5.128
angles: 90.00 90.00 90.00
Space group Pm-3m (No. 221)
One atom of each set of equivalent atoms:
Mn1 0.000 0.000 0.000
Zn1 0.500 0.500 0.500
Hg1 0.000 0.500 0.500



# 7
Entry from Alexandria: crystalline Mn2Zn2Hg at its relaxed geometry (GGA-PBE).

* energy of formation from the pure elements: 0.19 eV/atom
* energy above the most stable polymorph in this dataset: 0.0000 eV per atom

abc: 7.266 7.266 2.981
angles: 90.00 90.00 90.00
Space group P4/mbm (No. 127)
One atom of each set of equivalent atoms:
Mn1 0.165 0.335 0.000
Zn1 0.128 0.628 0.500
Hg1 0.000 0.000 0.500



# 8
Entry from Alexandria: crystalline MnZnHg at its relaxed geometry (GGA-PBE).

* energy of formation from the pure elements: 0.37 eV/atom
* energy above the most stable polymorph in this dataset: 0.1699 eV per atom

abc: 6.146 6.146 6.146
angles: 90.00 90.00 90.00
Space group F-43m (No. 216)
One atom of each set of equivalent atoms:
Mn1 0.000 0.000 0.000
Zn1 0.250 0.250 0.750
Hg1 0.000 0.000 0.500



| no. | E_tot (eV per atom) | DOS(E_F) (states/eV per cell) |
| --- | --- | --- |
| 1 | -5.757 | 4.1 |
| 2 | -5.100 | 3.6 |
| 3 | -6.998 | 33.5 |
| 4 | -5.618 | 8.0 |
| 5 | -3.379 | 4.0 |
| 6 | -1.683 | 2.7 |
| 7 | -4.045 | 5.9 |
| 8 | -3.209 | 10.2 |